i:
AgSb2Pd2: optimized geometry, PBE-GGA.

Cell lengths 7.908, 7.908, 3.280 Å; angles 90.00, 90.00, 90.00 degrees
Element x y z (fractional)
Sb (0.335, 0.835, 0.000)
Sb (0.835, 0.665, 0.000)
Sb (0.665, 0.165, 0.000)
Sb (0.165, 0.335, 0.000)
Pd (0.131, 0.631, 0.500)
Pd (0.631, 0.869, 0.500)
Pd (0.869, 0.369, 0.500)
Pd (0.369, 0.131, 0.500)
Ag (0.000, 0.000, 0.000)
Ag (0.500, 0.500, 0.000)

Symmetry: P4/mbm
V (Å³/cell): 205.1

ii:
AgSb2Pd2: optimized geometry, PBE-GGA.

Cell lengths 4.890, 7.666, 7.056 Å; angles 96.69, 69.33, 63.34 degrees
Element x y z (fractional)
Ag (0.000, 0.750, 0.250)
Ag (0.000, 0.250, 0.750)
Sb (0.638, 0.413, 0.222)
Sb (0.638, 0.913, 0.722)
Sb (0.362, 0.087, 0.278)
Sb (0.362, 0.587, 0.778)
Pd (0.686, 0.690, 0.001)
Pd (0.687, 0.190, 0.501)
Pd (0.314, 0.310, 0.999)
Pd (0.313, 0.810, 0.499)

Symmetry: P-1
V (Å³/cell): 208.9

iii:
AgSb2Pd2: optimized geometry, PBE-GGA.

Cell lengths 3.921, 3.921, 7.596 Å; angles 75.04, 75.04, 90.00 degrees
Element x y z (fractional)
Sb (0.385, 0.385, 0.230)
Sb (0.615, 0.615, 0.770)
Pd (0.750, 0.250, 0.500)
Pd (0.250, 0.750, 0.500)
Ag (0.000, 0.000, 0.000)

Symmetry: I4/mmm
V (Å³/cell): 108.7

Short version: iii is the least stable of them.

i:
AgSbPd6: optimized geometry, PBE-GGA.

Cell lengths 6.967, 6.967, 11.356 Å; angles 90.00, 90.00, 109.00 degrees
Element x y z (fractional)
Ag (0.747, 0.253, 0.000)
Ag (0.253, 0.747, 0.000)
Ag (0.500, 0.500, 0.752)
Ag (0.500, 0.500, 0.248)
Sb (0.745, 0.255, 0.500)
Sb (0.255, 0.745, 0.500)
Sb (0.000, 0.000, 0.759)
Sb (0.000, 0.000, 0.241)
Pd (0.751, 0.249, 0.748)
Pd (0.123, 0.373, 0.875)
Pd (0.877, 0.627, 0.875)
Pd (0.249, 0.751, 0.748)
Pd (0.627, 0.877, 0.875)
Pd (0.373, 0.123, 0.875)
Pd (0.500, 0.500, 0.500)
Pd (0.877, 0.628, 0.624)
Pd (0.628, 0.877, 0.624)
Pd (0.751, 0.249, 0.252)
Pd (0.123, 0.372, 0.376)
Pd (0.877, 0.628, 0.376)
Pd (0.249, 0.751, 0.252)
Pd (0.628, 0.877, 0.376)
Pd (0.372, 0.123, 0.376)
Pd (0.500, 0.500, 0.000)
Pd (0.877, 0.627, 0.125)
Pd (0.627, 0.877, 0.125)
Pd (0.000, 0.000, 0.500)
Pd (0.372, 0.123, 0.624)
Pd (0.123, 0.372, 0.624)
Pd (0.000, 0.000, 0.000)
Pd (0.373, 0.123, 0.125)
Pd (0.123, 0.373, 0.125)

Symmetry: Cmmm
V (Å³/cell): 521.2

ii:
AgSbPd6: optimized geometry, PBE-GGA.

Cell lengths 6.657, 7.542, 5.321 Å; angles 44.19, 47.22, 58.82 degrees
Element x y z (fractional)
Ag (0.000, 0.000, 0.000)
Sb (0.500, 0.500, 0.500)
Pd (0.983, 0.477, 0.785)
Pd (0.745, 0.924, 0.767)
Pd (0.475, 0.253, 0.334)
Pd (0.255, 0.076, 0.233)
Pd (0.017, 0.523, 0.215)
Pd (0.525, 0.747, 0.666)

Symmetry: P-1
V (Å³/cell): 136.4

Short version: ii is the least stable of them.